LiAuCl2 PBEsol optimized geometry; energy above the most stable polymorph in this dataset = 0.00 kcal/mol of atoms; space-group type = R-3m; final energy = -13.7 eV for the cell shown
1.0
1.8233 1.0527 7.2013
-1.8233 1.0527 7.2013
0.0000 -2.1053 7.2013
Li Au Cl
1 1 2
direct
0.0000 0.0000 0.0000
0.5000 0.5000 0.5000
0.3949 0.3949 0.3949
0.6051 0.6051 0.6051